{
  "formula": "Mn5NiB2O10",
  "functional": "GGA+U",
  "state": "relaxed",
  "dos_ef_per_ev_atom": 0.180,
  "dft_energy_ev_per_cell": -271.4,
  "lattice_angstrom": [[3.093, 0.000, 0.000], [0.000, 9.493, 0.000], [0.000, 0.000, 12.915]],
  "species": ["Mn", "Mn", "Mn", "Mn", "Mn", "Mn", "Mn", "Mn", "Mn", "Mn", "Ni", "Ni", "B", "B", "B", "B", "O", "O", "O", "O", "O", "O", "O", "O", "O", "O", "O", "O", "O", "O", "O", "O", "O", "O", "O", "O"],
  "fractional_positions": [[0.000, 0.004, 0.000], [0.000, 0.253, 0.384], [0.000, 0.489, 0.762], [0.000, 0.511, 0.262], [0.000, 0.747, 0.884], [0.000, 0.996, 0.500], [0.500, 0.245, 0.159], [0.500, 0.251, 0.882], [0.500, 0.749, 0.382], [0.500, 0.755, 0.659], [0.500, 0.252, 0.604], [0.500, 0.748, 0.104], [0.000, 0.031, 0.743], [0.000, 0.477, 0.022], [0.000, 0.523, 0.522], [0.000, 0.969, 0.243], [0.000, 0.099, 0.838], [0.000, 0.108, 0.651], [0.000, 0.117, 0.240], [0.000, 0.375, 0.528], [0.000, 0.399, 0.113], [0.000, 0.408, 0.928], [0.000, 0.592, 0.428], [0.000, 0.601, 0.613], [0.000, 0.625, 0.028], [0.000, 0.883, 0.740], [0.000, 0.892, 0.151], [0.000, 0.901, 0.338], [0.500, 0.133, 0.024], [0.500, 0.135, 0.465], [0.500, 0.362, 0.738], [0.500, 0.370, 0.300], [0.500, 0.630, 0.800], [0.500, 0.638, 0.238], [0.500, 0.865, 0.965], [0.500, 0.867, 0.524]]
}